Entry 1:
Compound: AlAsPt2
Source: Alexandria
Functional: PBE
Structure: optimized geometry

Calculated values
formation energy from the elements: -2.2 eV per formula unit

a = 3.502 Å, b = 3.526 Å, c = 5.228 Å
α = 90.00°, β = 90.00°, γ = 90.00°
Sites, in units of the cell vectors:
Al: 0.000 0.000 0.000
As: 0.500 0.500 0.341
Pt: 0.000 0.000 0.494
Pt: 0.500 0.500 0.841

***

Entry 2:
Compound: MgH2Os
Source: Alexandria
Functional: PBE
Structure: optimized geometry

Calculated values
raw total energy: -4.686 eV/atom

a = 5.350 Å, b = 5.350 Å, c = 5.350 Å
α = 134.02°, β = 134.02°, γ = 67.06°
Sites, in units of the cell vectors:
Mg: 0.000 0.000 0.000
Mg: 0.750 0.250 0.500
H: 0.169 0.625 0.044
H: 0.375 0.419 0.544
H: 0.581 0.125 0.956
H: 0.875 0.831 0.456
Os: 0.250 0.750 0.500
Os: 0.500 0.500 0.000

***

Entry 3:
Compound: TcAg3
Source: Alexandria
Functional: PBE
Structure: optimized geometry

Calculated values
formation energy from the elements: 1.9 eV per formula unit

a = 5.169 Å, b = 5.169 Å, c = 2.691 Å
α = 90.00°, β = 90.00°, γ = 109.58°
Sites, in units of the cell vectors:
Tc: 0.000 0.000 0.000
Ag: 0.000 0.500 0.500
Ag: 0.500 0.000 0.500
Ag: 0.500 0.500 0.000